(1)
The following is a PBE-GGA calculation of an optimized crystal structure of Na3IO, from the Alexandria database.

abc: 7.7897 7.7897 7.7897
angles: 49.82 49.82 49.82
Closest atoms and distances in Å follow each position.
Atoms (fractional coordinates):
Na: 0.0078 0.4472 0.8607  2 O 2.31-2.34
Na: 0.1393 0.9922 0.5528  2 O 2.31-2.34
Na: 0.4472 0.8607 0.0078  2 O 2.31-2.34
Na: 0.5528 0.1393 0.9922  2 O 2.31-2.34
Na: 0.8607 0.0078 0.4472  2 O 2.31-2.34
Na: 0.9922 0.5528 0.1393  2 O 2.31-2.34
I: 0.3716 0.3716 0.3716  3 Na 3.12
I: 0.6284 0.6284 0.6284  3 Na 3.12
O: 0.1621 0.1621 0.1621  6 Na 2.31-2.34
O: 0.8379 0.8379 0.8379  6 Na 2.31-2.34

Output
formation energy from raw total energies: -1.21 eV per atom
uncorrected energy: -33.0 eV per cell
volume: 126.91 Å³/f.u.

---

(2)
The following is a PBE-GGA calculation of an optimized crystal structure of Na6I4O, from the Alexandria database.

abc: 8.9102 8.9102 9.3164
angles: 90.00 90.00 90.00
Closest atoms and distances in Å follow each position.
Atoms (fractional coordinates):
Na: 0.0000 0.0000 0.2423  1 O 2.26
Na: 0.0000 0.0000 0.7577  1 O 2.26
Na: 0.0723 0.2484 0.0000  1 O 2.31
Na: 0.2484 0.9277 0.0000  1 O 2.31
Na: 0.2516 0.4277 0.5000  1 O 2.31
Na: 0.4277 0.7484 0.5000  1 O 2.31
Na: 0.5000 0.5000 0.2577  1 O 2.26
Na: 0.5000 0.5000 0.7423  1 O 2.26
Na: 0.5723 0.2516 0.5000  1 O 2.31
Na: 0.7484 0.5723 0.5000  1 O 2.31
Na: 0.7516 0.0723 0.0000  1 O 2.31
Na: 0.9277 0.7516 0.0000  1 O 2.31
I: 0.1793 0.6793 0.2500  6 Na 3.27-3.30
I: 0.1793 0.6793 0.7500  6 Na 3.27-3.30
I: 0.3207 0.1793 0.2500  6 Na 3.27-3.30
I: 0.3207 0.1793 0.7500  6 Na 3.27-3.30
I: 0.6793 0.8207 0.2500  6 Na 3.27-3.30
I: 0.6793 0.8207 0.7500  6 Na 3.27-3.30
I: 0.8207 0.3207 0.2500  6 Na 3.27-3.30
I: 0.8207 0.3207 0.7500  6 Na 3.27-3.30
O: 0.0000 0.0000 0.0000  6 Na 2.26-2.31
O: 0.5000 0.5000 0.5000  6 Na 2.26-2.31

Output
formation energy from raw total energies: -1.21 eV per atom
uncorrected energy: -64.7 eV per cell
volume: 369.83 Å³/f.u.

---

(3)
The following is a PBE-GGA calculation of an optimized crystal structure of Na9I3O2, from the Alexandria database.

abc: 6.9093 6.9093 8.4867
angles: 90.00 90.00 120.00
Closest atoms and distances in Å follow each position.
Atoms (fractional coordinates):
Na: 0.0000 0.5000 0.0000  2 O 2.40
Na: 0.1757 0.3513 0.6815  1 O 2.33
Na: 0.1757 0.8243 0.6815  1 O 2.33
Na: 0.3513 0.1757 0.3185  1 O 2.33
Na: 0.5000 0.0000 0.0000  2 O 2.40
Na: 0.5000 0.5000 0.0000  2 O 2.40
Na: 0.6487 0.8243 0.6815  1 O 2.33
Na: 0.8243 0.1757 0.3185  1 O 2.33
Na: 0.8243 0.6487 0.3185  1 O 2.33
I: 0.0000 0.0000 0.0000  12 Na 3.42-3.45
I: 0.3333 0.6667 0.3263  12 Na 3.41-3.56
I: 0.6667 0.3333 0.6737  12 Na 3.41-3.56
O: 0.3333 0.6667 0.8422  6 Na 2.33-2.40
O: 0.6667 0.3333 0.1578  6 Na 2.33-2.40

Output
formation energy from raw total energies: -1.03 eV per atom
uncorrected energy: -40.8 eV per cell
volume: 350.87 Å³/f.u.

---

(4)
The following is a PBE-GGA calculation of an optimized crystal structure of NaIO3, from the Alexandria database.

abc: 6.5039 8.3492 5.8022
angles: 90.00 90.00 90.00
Closest atoms and distances in Å follow each position.
Atoms (fractional coordinates):
Na: 0.0000 0.0000 0.0000  6 O 2.42-2.50
Na: 0.0000 0.5000 0.0000  6 O 2.42-2.50
Na: 0.5000 0.0000 0.5000  6 O 2.42-2.50
Na: 0.5000 0.5000 0.5000  6 O 2.42-2.50
I: 0.0151 0.2500 0.4897  3 O 1.83-1.84
I: 0.4849 0.7500 0.9897  3 O 1.83-1.84
I: 0.5151 0.2500 0.0103  3 O 1.83-1.84
I: 0.9849 0.7500 0.5103  3 O 1.83-1.84
O: 0.0998 0.2500 0.7901  1 I 1.83
O: 0.1655 0.0856 0.3628  1 I 1.84
O: 0.1655 0.4144 0.3628  1 I 1.84
O: 0.3345 0.5856 0.8628  1 I 1.84
O: 0.3345 0.9144 0.8628  1 I 1.84
O: 0.4002 0.7500 0.2901  1 I 1.83
O: 0.5998 0.2500 0.7099  1 I 1.83
O: 0.6655 0.0856 0.1372  1 I 1.84
O: 0.6655 0.4144 0.1372  1 I 1.84
O: 0.8345 0.5856 0.6372  1 I 1.84
O: 0.8345 0.9144 0.6372  1 I 1.84
O: 0.9002 0.7500 0.2099  1 I 1.83

Output
formation energy from raw total energies: -0.89 eV per atom
uncorrected energy: -88.9 eV per cell
volume: 78.77 Å³/f.u.

---

Computed values of M_tot (unit: μB per formula unit) for the preceding records, in sequence: 0.0 0.1 0.0 0.0.